Record 1
## Tl2TcP (PBE)

Data for a geometry-optimized Tl2TcP structure.

Output
SG: No. 225
Formation energy from the elements: 0.994 eV/atom
ΔE to the lowest computed polymorph: 95.3 kJ/mol of atoms

abc: 4.865 4.865 4.865
angles: 60.00 60.00 60.00
Atoms (fractional coordinates):
1 Tl 0.250 0.250 0.250
2 Tl 0.750 0.750 0.750
3 Tc 0.000 0.000 0.000
4 P 0.500 0.500 0.500

***

Record 2
## Tl2TcP (PBE)

Data for a geometry-optimized Tl2TcP structure.

Output
SG: No. 122
Formation energy from the elements: 0.915 eV/atom
ΔE to the lowest computed polymorph: 87.7 kJ/mol of atoms

abc: 6.250 6.250 6.250
angles: 102.32 102.32 124.98
Atoms (fractional coordinates):
1 Tl 0.114 0.625 0.989
2 Tl 0.375 0.364 0.489
3 Tl 0.636 0.125 0.011
4 Tl 0.875 0.886 0.511
5 Tc 0.250 0.750 0.500
6 Tc 0.500 0.500 0.000
7 P 0.000 0.000 0.000
8 P 0.750 0.250 0.500

***

Record 3
## Tl2TcP (PBE)

Data for a geometry-optimized Tl2TcP structure.

Output
SG: No. 139
Formation energy from the elements: 0.895 eV/atom
ΔE to the lowest computed polymorph: 85.7 kJ/mol of atoms

abc: 5.851 5.851 5.851
angles: 138.72 138.72 59.81
Atoms (fractional coordinates):
1 Tl 0.250 0.750 0.500
2 Tl 0.750 0.250 0.500
3 Tc 0.000 0.000 0.000
4 P 0.500 0.500 0.000

***

Ordered calculated volume results: 20.4; 22.2; 21.6; unit Å³/atom.